No. 1
Computed, not measured: MnTeSe2Br after structural relaxation at the PBE level of DFT.

a b c (Å): 4.7418 4.7418 4.8997
angles (deg): 90.00 90.00 90.00
Element x y z (fractional)
Mn1 0.0000 0.0000 0.0000
Te1 0.5000 0.5000 0.5000
Se1 0.0000 0.5000 0.0000
Se2 0.5000 0.0000 0.0000
Br1 0.0000 0.0000 0.5000

Output
Total magnetic moment = 0.00 μB/atom
Formation energy (no corrections) = 281 meV/atom
Space group = P4/mmm, No. 123
VASP energy = -3.909 eV per atom


No. 2
Computed, not measured: MnTeSe2Br after structural relaxation at the PBE level of DFT.

a b c (Å): 4.5237 4.5237 5.7772
angles (deg): 90.00 90.00 90.00
Element x y z (fractional)
Mn1 0.0000 0.0000 0.0000
Te1 0.0000 0.0000 0.5000
Se1 0.0000 0.5000 0.0000
Se2 0.5000 0.0000 0.0000
Br1 0.5000 0.5000 0.5000

Output
Total magnetic moment = 0.00 μB/atom
Formation energy (no corrections) = 219 meV/atom
Space group = P4/mmm, No. 123
VASP energy = -3.971 eV per atom


No. 3
Computed, not measured: TiMnSeBr2 after structural relaxation at the PBE level of DFT.

a b c (Å): 4.9168 4.9168 4.6153
angles (deg): 90.00 90.00 90.00
Element x y z (fractional)
Ti1 0.0000 0.0000 0.0000
Mn1 0.5000 0.5000 0.5000
Se1 0.5000 0.5000 0.0000
Br1 0.0000 0.5000 0.5000
Br2 0.5000 0.0000 0.5000

Output
Total magnetic moment = 0.02 μB/atom
Formation energy (no corrections) = 456 meV/atom
Space group = P4/mmm, No. 123
VASP energy = -4.323 eV per atom